[1]
An optimized crystal structure of Mg2ZnPd2. Source: Alexandria, functional PBE-GGA.

The structure in CIF format:
```
data_Mg2ZnPd2
_chemical_formula_sum 'Mg4 Zn2 Pd4'
_cell_length_a 7.582
_cell_length_b 7.582
_cell_length_c 2.942
_cell_angle_alpha 90.00
_cell_angle_beta 90.00
_cell_angle_gamma 90.00
_space_group_name_H-M_alt 'P 4/m b m'
_space_group_IT_number 127
_space_group_name_Hall '-P 4 2ab'
loop_
_atom_site_label
_atom_site_type_symbol
_atom_site_fract_x
_atom_site_fract_y
_atom_site_fract_z
_atom_site_occupancy
Mg1 Mg 0.140 0.360 0.000 1
Zn1 Zn 0.000 0.000 0.000 1
Pd1 Pd 0.158 0.658 0.500 1
```

Output
- VASP energy: -33.811 eV for the cell shown
- Magnetization: 0.0000 μB per atom
- Volume: 16.91 Å³ per atom

---

[2]
An optimized crystal structure of ZrAs2SeBr. Source: Alexandria, functional PBE-GGA.

The structure in CIF format:
```
data_ZrAs2SeBr
_chemical_formula_sum 'Zr1 As2 Se1 Br1'
_cell_length_a 4.924
_cell_length_b 4.924
_cell_length_c 5.140
_cell_angle_alpha 90.00
_cell_angle_beta 90.00
_cell_angle_gamma 90.00
_space_group_name_H-M_alt 'P 4/m m m'
_space_group_IT_number 123
_space_group_name_Hall '-P 4 2'
loop_
_atom_site_label
_atom_site_type_symbol
_atom_site_fract_x
_atom_site_fract_y
_atom_site_fract_z
_atom_site_occupancy
Zr1 Zr 0.000 0.000 0.000 1
As1 As 0.000 0.500 0.500 1
Se1 Se 0.500 0.500 0.000 1
Br1 Br 0.500 0.500 0.500 1
```

Output
- VASP energy: -18.808 eV for the cell shown
- Magnetization: 0.0000 μB per atom
- Formation energy without anion corrections: 405 kJ/mol of formula units
- Volume: 24.93 Å³ per atom

---

[3]
An optimized crystal structure of CePuU2As4. Source: Alexandria, functional PBE-GGA.

The structure in CIF format:
```
data_CePuU2As4
_chemical_formula_sum 'Ce1 Pu1 U2 As4'
_cell_length_a 7.132
_cell_length_b 4.097
_cell_length_c 7.217
_cell_angle_alpha 90.00
_cell_angle_beta 109.01
_cell_angle_gamma 90.00
_space_group_name_H-M_alt 'P 1 2/m 1'
_space_group_IT_number 10
loop_
_space_group_symop_operation_xyz
'x,y,z'
'-x,-y,-z'
'-x,y,-z'
'x,-y,z'
loop_
_atom_site_label
_atom_site_type_symbol
_atom_site_fract_x
_atom_site_fract_y
_atom_site_fract_z
_atom_site_occupancy
Ce1 Ce 0.000 0.000 0.000 1
Pu1 Pu 0.000 0.500 0.500 1
U1 U 0.500 0.000 0.500 1
U2 U 0.500 0.500 0.000 1
As1 As 0.257 0.000 0.750 1
As2 As 0.258 0.500 0.254 1
```

Output
- VASP energy: -69.100 eV for the cell shown
- Magnetization: 0.7543 μB per atom
- Volume: 24.92 Å³ per atom

---

[4]
An optimized crystal structure of Pd3Pt5Rh4. Source: Alexandria, functional PBE-GGA.

The structure in CIF format:
```
data_Pd3Pt5Rh4
_chemical_formula_sum 'Pd3 Pt5 Rh4'
_cell_length_a 4.688
_cell_length_b 4.970
_cell_length_c 8.492
_cell_angle_alpha 96.87
_cell_angle_beta 99.56
_cell_angle_gamma 95.39
_space_group_name_H-M_alt 'P -1'
_space_group_IT_number 2
loop_
_space_group_symop_operation_xyz
'x,y,z'
'-x,-y,-z'
loop_
_atom_site_label
_atom_site_type_symbol
_atom_site_fract_x
_atom_site_fract_y
_atom_site_fract_z
_atom_site_occupancy
Pd1 Pd 0.000 0.000 0.000 1
Pd2 Pd 0.476 0.239 0.922 1
Pt1 Pt 0.000 0.500 0.000 1
Pt2 Pt 0.228 0.144 0.615 1
Pt3 Pt 0.287 0.096 0.303 1
Rh1 Rh 0.219 0.674 0.762 1
Rh2 Rh 0.252 0.607 0.448 1
```

Output
- VASP energy: -72.554 eV for the cell shown
- Magnetization: 0.0004 μB per atom
- Volume: 16.03 Å³ per atom

---

[5]
An optimized crystal structure of Li2HoInSe4. Source: Alexandria, functional PBE-GGA.

The structure in CIF format:
```
data_Li2HoInSe4
_chemical_formula_sum 'Li2 Ho1 In1 Se4'
_cell_length_a 6.919
_cell_length_b 4.006
_cell_length_c 6.923
_cell_angle_alpha 90.00
_cell_angle_beta 109.49
_cell_angle_gamma 90.00
_space_group_name_H-M_alt 'P 1 2/m 1'
_space_group_IT_number 10
loop_
_space_group_symop_operation_xyz
'x,y,z'
'-x,-y,-z'
'-x,y,-z'
'x,-y,z'
loop_
_atom_site_label
_atom_site_type_symbol
_atom_site_fract_x
_atom_site_fract_y
_atom_site_fract_z
_atom_site_occupancy
Li1 Li 0.000 0.000 0.000 1
Li2 Li 0.000 0.500 0.500 1
Ho1 Ho 0.500 0.000 0.500 1
In1 In 0.500 0.500 0.000 1
Se1 Se 0.244 0.500 0.250 1
Se2 Se 0.253 0.000 0.762 1
```

Output
- VASP energy: -34.901 eV for the cell shown
- Magnetization: 0.0000 μB per atom
- Formation energy without anion corrections: -947 kJ/mol of formula units
- Volume: 22.61 Å³ per atom

---

[6]
An optimized crystal structure of CdB2F6. Source: Alexandria, functional PBE-GGA.

The structure in CIF format:
```
data_CdB2F6
_chemical_formula_sum 'Cd4 B8 F24'
_cell_length_a 14.494
_cell_length_b 8.178
_cell_length_c 6.230
_cell_angle_alpha 90.00
_cell_angle_beta 114.52
_cell_angle_gamma 90.00
_space_group_name_H-M_alt 'C 1 2/c 1'
_space_group_IT_number 15
loop_
_space_group_symop_operation_xyz
'x,y,z'
'-x,-y,-z'
'-x,y,-z+1/2'
'x,-y,z+1/2'
'x+1/2,y+1/2,z'
'-x+1/2,-y+1/2,-z'
'-x+1/2,y+1/2,-z+1/2'
'x+1/2,-y+1/2,z+1/2'
loop_
_atom_site_label
_atom_site_type_symbol
_atom_site_fract_x
_atom_site_fract_y
_atom_site_fract_z
_atom_site_occupancy
Cd1 Cd 0.000 0.066 0.250 1
B1 B 0.164 0.395 0.113 1
F1 F 0.103 0.476 0.537 1
F2 F 0.148 0.263 0.980 1
F3 F 0.242 0.401 0.324 1
```

Output
- VASP energy: -187.997 eV for the cell shown
- Magnetization: 0.0000 μB per atom
- Formation energy without anion corrections: -2075 kJ/mol of formula units
- Volume: 18.66 Å³ per atom

---

[7]
An optimized crystal structure of PuHfTaNb. Source: Alexandria, functional PBE-GGA.

The structure in CIF format:
```
data_PuHfTaNb
_chemical_formula_sum 'Pu4 Hf4 Ta4 Nb4'
_cell_length_a 6.860
_cell_length_b 6.860
_cell_length_c 6.860
_cell_angle_alpha 90.00
_cell_angle_beta 90.00
_cell_angle_gamma 90.00
_space_group_name_H-M_alt 'F -4 3 m'
_space_group_IT_number 216
_space_group_name_Hall 'F -4 2 3'
loop_
_atom_site_label
_atom_site_type_symbol
_atom_site_fract_x
_atom_site_fract_y
_atom_site_fract_z
_atom_site_occupancy
Pu1 Pu 0.000 0.000 0.000 1
Hf1 Hf 0.250 0.250 0.750 1
Ta1 Ta 0.250 0.250 0.250 1
Nb1 Nb 0.000 0.000 0.500 1
```

Output
- VASP energy: -181.252 eV for the cell shown
- Magnetization: 1.1585 μB per atom
- Volume: 20.17 Å³ per atom

---

[8]
An optimized crystal structure of FeTcAu2. Source: Alexandria, functional PBE-GGA.

The structure in CIF format:
```
data_FeTcAu2
_chemical_formula_sum 'Fe2 Tc2 Au4'
_cell_length_a 3.967
_cell_length_b 3.967
_cell_length_c 8.013
_cell_angle_alpha 90.00
_cell_angle_beta 90.00
_cell_angle_gamma 90.00
_space_group_name_H-M_alt 'I 4/m m m'
_space_group_IT_number 139
_space_group_name_Hall '-I 4 2'
loop_
_atom_site_label
_atom_site_type_symbol
_atom_site_fract_x
_atom_site_fract_y
_atom_site_fract_z
_atom_site_occupancy
Fe1 Fe 0.000 0.000 0.000 1
Tc1 Tc 0.000 0.000 0.500 1
Au1 Au 0.000 0.500 0.250 1
```

Output
- VASP energy: -47.483 eV for the cell shown
- Magnetization: 0.7714 μB per atom
- Volume: 15.76 Å³ per atom